The following is a PBE calculation of a relaxed Hf2TlHgS crystal, from the Alexandria database.

- formation energy from raw total energies (eV/atom) = 0.1223

```
5
Lattice="4.766 0.000 0.000 0.000 4.766 0.000 0.000 0.000 5.486" Properties=species:S:1:pos:R:3 pbc="T T T"
Hf 0.000 2.383 0.000
Hf 2.383 0.000 0.000
Tl 0.000 0.000 2.743
Hg 2.383 2.383 2.743
S 0.000 0.000 0.000
```